[1]
Density functional theory data (GGA-PBE) for a geometry-optimized K2CrSe4 structure.

```
28
Lattice="7.006 0.000 0.000 0.000 9.891 0.000 0.000 0.000 12.284" Properties=species:S:1:pos:R:3 pbc="T T T"
K 1.751 1.527 4.802
K 1.751 9.447 10.405
K 5.254 5.390 4.263
K 5.254 0.444 1.879
K 5.254 3.419 10.944
K 1.751 6.472 1.339
K 5.254 8.365 7.481
K 1.751 4.501 8.020
Se 0.022 6.445 10.449
Se 0.022 1.500 7.977
Se 5.254 2.137 4.882
Se 6.984 3.446 1.835
Se 6.984 8.392 4.307
Se 3.481 6.445 10.449
Se 3.524 8.392 4.307
Se 1.751 0.282 1.443
Se 3.481 1.500 7.977
Se 5.254 7.082 1.260
Se 1.751 5.228 4.699
Se 5.254 9.609 10.841
Se 1.751 7.755 7.402
Se 3.524 3.446 1.835
Se 5.254 4.664 7.585
Se 1.751 2.809 11.024
Cr 1.751 2.466 0.938
Cr 5.254 2.480 7.080
Cr 1.751 7.411 5.204
Cr 5.254 7.426 11.345
```

For the uncorrected formation energy, the calculation gives -0.743 eV per atom. As for the symmetry: Pnma (62).

=====

[2]
Density functional theory data (GGA-PBE) for a geometry-optimized DyHfZnCo structure.

```
4
Lattice="-3.955 2.363 -1.014 -2.640 -1.293 -3.689 -4.203 -2.024 0.701" Properties=species:S:1:pos:R:3 pbc="T T T"
Hf -2.699 -0.239 -1.001
Zn 0.000 0.000 0.000
Dy -8.098 -0.716 -3.002
Co -5.399 -0.477 -2.001
```

The formation energy is -0.1573 eV/atom. As for the symmetry: F-43m (216).

=====

Sequential DOS at the Fermi energy output: 0.67; 3.10 states/eV per cell
Sequential total magnetic moment output: 0.0; 0.4 μB per cell
Sequential calculated volume output: 851.19; 74.22 Å³/cell